Entry 1:
La6Au2I3Br after structural relaxation. Source: Alexandria, functional PBE.

- Fermi-level density of states: 11.3 states/eV per cell
- Uncorrected formation energy: -1.001 eV/atom
- Crystal system: monoclinic
- SG: C2/m (12)
- Calculated volume: 397 Å³/cell

Lattice parameters (Å, degrees): 7.7476 7.7476 8.0507 99.21 99.21 119.81
Last column: nearest neighbours and their distance in Å.
Fractional positions:
La 0.0807 0.4266 0.7800  2 Au 3.02-3.04, 1 Br 3.16, 1 I 3.34
La 0.2220 0.2220 0.2098  2 Au 3.01, 1 Br 3.14, 1 I 3.32
La 0.4266 0.0807 0.7800  2 Au 3.02-3.04, 1 Br 3.16, 1 I 3.34
La 0.5734 0.9193 0.2200  2 Au 3.02-3.04, 1 Br 3.16, 1 I 3.34
La 0.7780 0.7780 0.7902  2 Au 3.01, 1 Br 3.14, 1 I 3.32
La 0.9193 0.5734 0.2200  2 Au 3.02-3.04, 1 Br 3.16, 1 I 3.34
Au 0.1686 0.8314 0.0000  6 La 3.01-3.04
Au 0.8314 0.1686 0.0000  6 La 3.01-3.04
I 0.0000 0.0000 0.5000  6 La 3.32-3.39
I 0.3403 0.6597 0.5000  6 La 3.34-3.40
I 0.6597 0.3403 0.5000  6 La 3.34-3.40
Br 0.5000 0.5000 0.0000  6 La 3.14-3.16

---

Entry 2:
La8Au3I4Br after structural relaxation. Source: Alexandria, functional PBE.

- Fermi-level density of states: 13.9 states/eV per cell
- Uncorrected formation energy: -0.982 eV/atom
- Crystal system: trigonal
- SG: R-3m (166)
- Calculated volume: 529 Å³/cell

Lattice parameters (Å, degrees): 9.3193 9.3193 9.3193 56.73 56.73 56.73
Last column: nearest neighbours and their distance in Å.
Fractional positions:
La 0.2336 0.2336 0.2336  3 Au 3.00
La 0.2367 0.7419 0.7419  2 Au 3.07, 1 Br 3.10, 3 I 3.34-3.37
La 0.2581 0.2581 0.7633  2 Au 3.07, 1 Br 3.10, 3 I 3.34-3.37
La 0.2581 0.7633 0.2581  2 Au 3.07, 1 Br 3.10, 3 I 3.34-3.37
La 0.7419 0.2367 0.7419  2 Au 3.07, 1 Br 3.10, 3 I 3.34-3.37
La 0.7419 0.7419 0.2367  2 Au 3.07, 1 Br 3.10, 3 I 3.34-3.37
La 0.7633 0.2581 0.2581  2 Au 3.07, 1 Br 3.10, 3 I 3.34-3.37
La 0.7664 0.7664 0.7664  3 Au 3.00
Au 0.0000 0.0000 0.5000  6 La 3.00-3.07
Au 0.0000 0.5000 0.0000  6 La 3.00-3.07
Au 0.5000 0.0000 0.0000  6 La 3.00-3.07
I 0.0000 0.0000 0.0000  6 La 3.34
I 0.0000 0.5000 0.5000  6 La 3.37-3.46
I 0.5000 0.0000 0.5000  6 La 3.37-3.46
I 0.5000 0.5000 0.0000  6 La 3.37-3.46
Br 0.5000 0.5000 0.5000  6 La 3.10